1.
GdH3 | PBE | optimized geometry

Cell: 3.3315 3.3315 3.3315 Å, 90.00 90.00 90.00°
Last column: nearest neighbours and their distance in Å.
Space group Pm-3m (No. 221)
Asymmetric unit:
Gd 0.0000 0.0000 0.0000  12 H 2.36
H 0.0000 0.5000 0.5000  4 Gd 2.36, 8 H 2.36

DOS(E_F) = 0.016 states/eV per atom
Total magnetic moment = 7.00 μB/cell



2.
GdH2 | PBE | optimized geometry

Cell: 3.7320 3.7320 5.2683 Å, 90.00 90.00 90.00°
Last column: nearest neighbours and their distance in Å.
Space group I4/mmm (No. 139)
Asymmetric unit:
Gd 0.0000 0.0000 0.0000  8 H 2.28
H 0.0000 0.5000 0.2500  4 Gd 2.28

DOS(E_F) = 0.369 states/eV per atom
Total magnetic moment = 14.15 μB/cell



3.
GdHfH2 | PBE | optimized geometry

Cell: 3.3203 3.3203 16.8429 Å, 90.00 90.00 120.00°
Last column: nearest neighbours and their distance in Å.
Space group R-3m (No. 166, hexagonal axes)
Asymmetric unit:
Gd 0.0000 0.0000 0.0000  6 H 2.62
Hf 0.0000 0.0000 0.5000  6 H 2.17
H 0.0000 0.0000 0.2276  3 Hf 2.17

DOS(E_F) = 0.865 states/eV per atom
Total magnetic moment = 22.89 μB/cell



| no. | total DFT energy (no corrections) (eV/cell) |
| --- | --- |
| 1 | -25.80 |
| 2 | -45.68 |
| 3 | -95.19 |